VASP calculation (PBE) on a geometry-optimized Fe2CuRe structure. Values from VASP.

The structure in Quantum ESPRESSO input format:
```
&SYSTEM
  ibrav = 0, nat = 4, ntyp = 3
/
ATOMIC_SPECIES
Re 186.21 Re.upf
Cu 63.55 Cu.upf
Fe 55.84 Fe.upf
CELL_PARAMETERS angstrom
-2.591 1.129 0.135
-1.130 -2.522 -0.605
-0.267 -1.347 6.118
ATOMIC_POSITIONS crystal
Re 0.000 0.000 0.484
Cu 0.500 0.500 0.770
Fe 0.500 0.500 0.236
Fe 0.000 0.000 0.010
```

## Properties
* total DFT energy (no corrections): -32.6 eV for the cell shown
* calculated formation energy: 208 meV/atom
* ΔE to the lowest computed polymorph: 0.13 eV/f.u.

***

VASP calculation (PBE) on a geometry-optimized FeCuRe2 structure. Values from VASP.

The structure in Quantum ESPRESSO input format:
```
&SYSTEM
  ibrav = 0, nat = 4, ntyp = 3
/
ATOMIC_SPECIES
Re 186.21 Re.upf
Cu 63.55 Cu.upf
Fe 55.84 Fe.upf
CELL_PARAMETERS angstrom
-2.592 3.668 -1.050
-2.228 -0.795 -3.960
0.368 -2.489 3.865
ATOMIC_POSITIONS crystal
Re 0.750 0.250 0.500
Re 0.000 0.000 0.000
Cu 0.500 0.500 0.000
Fe 0.250 0.750 0.500
```

## Properties
* total DFT energy (no corrections): -36.7 eV for the cell shown
* calculated formation energy: 187 meV/atom
* ΔE to the lowest computed polymorph: 0.11 eV/f.u.

***

VASP calculation (PBE) on a geometry-optimized FeCu2Re structure. Values from VASP.

The structure in Quantum ESPRESSO input format:
```
&SYSTEM
  ibrav = 0, nat = 4, ntyp = 3
/
ATOMIC_SPECIES
Cu 63.55 Cu.upf
Re 186.21 Re.upf
Fe 55.84 Fe.upf
CELL_PARAMETERS angstrom
-1.018 1.734 -1.653
0.737 -2.249 -2.813
-4.741 -2.251 0.557
ATOMIC_POSITIONS crystal
Cu 0.000 0.000 0.015
Cu 0.500 0.500 0.241
Re 0.500 0.500 0.732
Fe 0.000 0.000 0.512
```

## Properties
* total DFT energy (no corrections): -28.2 eV for the cell shown
* calculated formation energy: 228 meV/atom
* ΔE to the lowest computed polymorph: 0.17 eV/f.u.

***

VASP calculation (PBE) on a geometry-optimized FeCuRe2Ru structure. Values from VASP.

The structure in Quantum ESPRESSO input format:
```
&SYSTEM
  ibrav = 0, nat = 5, ntyp = 4
/
ATOMIC_SPECIES
Cu 63.55 Cu.upf
Re 186.21 Re.upf
Ru 101.07 Ru.upf
Fe 55.84 Fe.upf
CELL_PARAMETERS angstrom
4.646 0.000 0.000
0.000 4.539 0.000
0.000 0.000 4.646
ATOMIC_POSITIONS crystal
Cu 0.500 0.500 0.500
Re 0.000 0.000 0.500
Re 0.500 0.000 0.000
Ru 0.000 0.000 0.000
Fe 0.000 0.500 0.000
```

## Properties
* total DFT energy (no corrections): -36.5 eV for the cell shown
* calculated formation energy: 2043 meV/atom

***

VASP calculation (PBE) on a geometry-optimized FeCuRe2Sn structure. Values from VASP.

The structure in Quantum ESPRESSO input format:
```
&SYSTEM
  ibrav = 0, nat = 5, ntyp = 4
/
ATOMIC_SPECIES
Cu 63.55 Cu.upf
Fe 55.84 Fe.upf
Sn 118.71 Sn.upf
Re 186.21 Re.upf
CELL_PARAMETERS angstrom
-3.570 -1.444 -2.200
-1.683 -1.642 3.808
-2.036 3.865 0.767
ATOMIC_POSITIONS crystal
Cu 0.000 0.500 0.000
Fe 0.000 0.000 0.000
Sn 0.500 0.500 0.500
Re 0.500 0.000 0.000
Re 0.000 0.000 0.500
```

## Properties
* total DFT energy (no corrections): -35.1 eV for the cell shown
* calculated formation energy: 1280 meV/atom

***

VASP calculation (PBE) on a geometry-optimized TaFeCuRe2 structure. Values from VASP.

The structure in Quantum ESPRESSO input format:
```
&SYSTEM
  ibrav = 0, nat = 5, ntyp = 4
/
ATOMIC_SPECIES
Re 186.21 Re.upf
Cu 63.55 Cu.upf
Ta 180.95 Ta.upf
Fe 55.84 Fe.upf
CELL_PARAMETERS angstrom
-3.120 1.820 -2.593
-2.937 -1.492 2.486
0.159 3.725 2.423
ATOMIC_POSITIONS crystal
Re 0.000 0.000 0.500
Re 0.500 0.000 0.000
Cu 0.000 0.000 0.000
Ta 0.500 0.500 0.500
Fe 0.000 0.500 0.000
```

## Properties
* total DFT energy (no corrections): -41.6 eV for the cell shown
* calculated formation energy: 1538 meV/atom

***

VASP calculation (PBE) on a geometry-optimized TlFe2CuRe structure. Values from VASP.

The structure in Quantum ESPRESSO input format:
```
&SYSTEM
  ibrav = 0, nat = 5, ntyp = 4
/
ATOMIC_SPECIES
Cu 63.55 Cu.upf
Fe 55.84 Fe.upf
Tl 204.38 Tl.upf
Re 186.21 Re.upf
CELL_PARAMETERS angstrom
4.333 0.000 0.000
0.000 4.566 0.000
0.000 0.000 4.333
ATOMIC_POSITIONS crystal
Cu 0.000 0.000 0.000
Fe 0.500 0.000 0.000
Fe 0.000 0.000 0.500
Tl 0.500 0.500 0.500
Re 0.000 0.500 0.000
```

## Properties
* total DFT energy (no corrections): -29.0 eV for the cell shown
* calculated formation energy: 1360 meV/atom

***

VASP calculation (PBE) on a geometry-optimized Fe2Cu2Rh7 structure. Values from VASP.

The structure in Quantum ESPRESSO input format:
```
&SYSTEM
  ibrav = 0, nat = 11, ntyp = 3
/
ATOMIC_SPECIES
Rh 102.91 Rh.upf
Fe 55.84 Fe.upf
Cu 63.55 Cu.upf
CELL_PARAMETERS angstrom
4.880 0.298 -0.379
-0.770 4.828 -0.379
-0.345 -0.430 6.432
ATOMIC_POSITIONS crystal
Rh 0.538 0.914 0.695
Rh 0.000 0.000 0.500
Rh 0.842 0.842 0.085
Rh 0.462 0.086 0.305
Rh 0.158 0.158 0.915
Rh 0.914 0.538 0.695
Rh 0.086 0.462 0.305
Fe 0.394 0.394 0.649
Fe 0.606 0.606 0.351
Cu 0.681 0.319 0.000
Cu 0.319 0.681 0.000
```

## Properties
* total DFT energy (no corrections): -75.4 eV for the cell shown
* calculated formation energy: 107 meV/atom

***

VASP calculation (PBE) on a geometry-optimized Fe2Cu2Rh structure. Values from VASP.

The structure in Quantum ESPRESSO input format:
```
&SYSTEM
  ibrav = 0, nat = 10, ntyp = 3
/
ATOMIC_SPECIES
Cu 63.55 Cu.upf
Rh 102.91 Rh.upf
Fe 55.84 Fe.upf
CELL_PARAMETERS angstrom
-4.979 0.177 -4.580
-0.659 -6.719 0.457
-1.867 0.322 2.042
ATOMIC_POSITIONS crystal
Cu 0.125 0.375 0.000
Cu 0.625 0.125 0.000
Cu 0.875 0.625 0.000
Cu 0.375 0.875 0.000
Rh 0.500 0.500 0.000
Rh 0.000 0.000 0.000
Fe 0.326 0.174 0.500
Fe 0.674 0.826 0.500
Fe 0.826 0.326 0.500
Fe 0.174 0.674 0.500
```

## Properties
* total DFT energy (no corrections): -62.5 eV for the cell shown
* calculated formation energy: 240 meV/atom
* ΔE to the lowest computed polymorph: 0.00 eV/f.u.

***

VASP calculation (PBE) on a geometry-optimized Fe6CuRh5 structure. Values from VASP.

The structure in Quantum ESPRESSO input format:
```
&SYSTEM
  ibrav = 0, nat = 12, ntyp = 3
/
ATOMIC_SPECIES
Rh 102.91 Rh.upf
Fe 55.84 Fe.upf
Cu 63.55 Cu.upf
CELL_PARAMETERS angstrom
3.642 0.012 -1.061
-0.993 6.393 -3.330
0.067 -0.482 7.003
ATOMIC_POSITIONS crystal
Rh 0.660 0.160 0.320
Rh 0.340 0.840 0.680
Rh 0.669 0.669 0.337
Rh 0.000 0.500 0.000
Rh 0.331 0.331 0.663
Fe 0.500 0.750 0.000
Fe 0.834 0.583 0.667
Fe 0.834 0.084 0.667
Fe 0.500 0.250 0.000
Fe 0.166 0.916 0.333
Fe 0.166 0.417 0.333
Cu 0.000 0.000 0.000
```

## Properties
* total DFT energy (no corrections): -91.6 eV for the cell shown
* calculated formation energy: 2 meV/atom

***

VASP calculation (PBE) on a geometry-optimized FeCu2Rh2 structure. Values from VASP.

The structure in Quantum ESPRESSO input format:
```
&SYSTEM
  ibrav = 0, nat = 5, ntyp = 3
/
ATOMIC_SPECIES
Cu 63.55 Cu.upf
Rh 102.91 Rh.upf
Fe 55.84 Fe.upf
CELL_PARAMETERS angstrom
4.189 -0.001 -0.001
-2.094 3.384 -1.308
0.000 -0.699 4.899
ATOMIC_POSITIONS crystal
Cu 0.308 0.616 0.425
Cu 0.692 0.384 0.575
Rh 0.897 0.794 0.191
Rh 0.103 0.206 0.809
Fe 0.500 0.000 0.000
```

## Properties
* total DFT energy (no corrections): -31.1 eV for the cell shown
* calculated formation energy: 47 meV/atom
* ΔE to the lowest computed polymorph: 0.00 eV/f.u.

***

VASP calculation (PBE) on a geometry-optimized FeCu2Rh structure. Values from VASP.

The structure in Quantum ESPRESSO input format:
```
&SYSTEM
  ibrav = 0, nat = 4, ntyp = 3
/
ATOMIC_SPECIES
Cu 63.55 Cu.upf
Fe 55.84 Fe.upf
Rh 102.91 Rh.upf
CELL_PARAMETERS angstrom
2.621 0.000 0.000
1.310 2.270 0.000
1.310 0.757 8.569
ATOMIC_POSITIONS crystal
Cu 0.085 0.085 0.744
Cu 0.248 0.248 0.256
Fe 0.500 0.500 0.500
Rh 0.667 0.667 0.000
```

## Properties
* total DFT energy (no corrections): -23.5 eV for the cell shown
* calculated formation energy: 118 meV/atom

***

VASP calculation (PBE) on a geometry-optimized Fe2CuRh structure. Values from VASP.

The structure in Quantum ESPRESSO input format:
```
&SYSTEM
  ibrav = 0, nat = 4, ntyp = 3
/
ATOMIC_SPECIES
Fe 55.84 Fe.upf
Cu 63.55 Cu.upf
Rh 102.91 Rh.upf
CELL_PARAMETERS angstrom
8.593 -0.020 -0.011
8.191 2.597 -0.011
8.191 1.258 2.272
ATOMIC_POSITIONS crystal
Fe 0.000 0.000 0.000
Fe 0.251 0.251 0.251
Cu 0.748 0.748 0.748
Rh 0.502 0.502 0.502
```

## Properties
* total DFT energy (no corrections): -28.0 eV for the cell shown
* calculated formation energy: 96 meV/atom